First-principles (GGA-PBE) data for a relaxed structure of ZrFeNi2Pt, as listed in the Alexandria database.

Structure (POSCAR):
```
ZrFeNi2Pt
1.0
4.2623 0.0000 0.0000
0.0000 4.2623 0.0000
0.0000 0.0000 4.6155
Zr Fe Ni Pt
1 1 2 1
Cartesian
0.0000 0.0000 0.0000
0.0000 0.0000 2.3077
0.0000 2.1312 2.3077
2.1312 0.0000 2.3077
2.1312 2.1312 0.0000
```

Properties
N(E_F)	5.0	states/eV per cell
uncorrected energy	-6.35	eV per atom
formation enthalpy at 0 K	0.57	eV/atom

---

First-principles (GGA-PBE) data for a relaxed structure of HfZrSe3, as listed in the Alexandria database.

Structure (POSCAR):
```
HfZrSe3
1.0
3.3210 1.9174 6.3009
-3.3210 1.9174 6.3009
0.0000 -3.8347 6.3009
Hf Zr Se
2 2 6
Cartesian
0.0000 0.0000 3.1848
0.0000 0.0000 15.7178
0.0000 0.0000 6.3135
0.0000 0.0000 12.5892
-2.2331 0.0166 7.9052
-1.1310 -1.9256 10.9975
1.1021 -1.9422 7.9052
-1.1021 1.9422 10.9975
1.1309 1.9256 7.9052
2.2331 -0.0166 10.9975
```

Properties
N(E_F)	5.5	states/eV per cell
ΔE_f (raw)	-1232	meV per atom
uncorrected energy	-7.02	eV per atom
energy relative to the lowest polymorph listed for this composition	0	meV per atom

---

First-principles (GGA-PBE) data for a relaxed structure of PbI, as listed in the Alexandria database.

Structure (POSCAR):
```
PbI
1.0
3.5308 -3.8442 0.0000
3.5308 3.8442 0.0000
-2.8480 0.0000 6.1721
Pb I
2 2
Cartesian
0.0000 0.0000 0.0000
-1.4240 0.0000 3.0860
1.3949 0.9975 4.6291
2.8188 -0.9975 1.5430
```

Properties
N(E_F)	1.5	states/eV per cell
ΔE_f (raw)	-238	meV per atom
uncorrected energy	-2.87	eV per atom

---

First-principles (GGA-PBE) data for a relaxed structure of CrTc2H2, as listed in the Alexandria database.

Structure (POSCAR):
```
CrTc2H2
1.0
-1.4425 1.4425 5.6165
1.4425 -1.4425 5.6165
1.4425 1.4425 -5.6165
Cr Tc H
1 2 2
Cartesian
0.0000 0.0000 0.0000
0.0000 0.0000 4.0520
0.0000 0.0000 7.1810
1.4425 0.0000 2.8082
0.0000 1.4425 2.8082
```

Properties
N(E_F)	4.8	states/eV per cell
uncorrected energy	-7.30	eV per atom

---

First-principles (GGA-PBE) data for a relaxed structure of DyAlSi, as listed in the Alexandria database.

Structure (POSCAR):
```
DyAlSi
1.0
5.1262 0.0000 0.0000
0.0000 3.7347 0.0000
-1.6072 0.0000 6.4396
Dy Al Si
2 2 2
Cartesian
-0.1558 0.9337 1.5302
3.6748 2.8011 4.9094
1.1274 0.9337 5.4301
2.3917 2.8011 1.0095
1.0188 2.8011 3.4879
2.5003 0.9337 2.9517
```

Properties
N(E_F)	2.5	states/eV per cell
ΔE_f (raw)	-458	meV per atom
uncorrected energy	-5.05	eV per atom

---

First-principles (GGA-PBE) data for a relaxed structure of DyYCBr, as listed in the Alexandria database.

Structure (POSCAR):
```
DyYCBr
1.0
1.8438 1.0645 7.1375
-1.8438 1.0645 7.1375
0.0000 -2.1290 7.1375
Dy Y C Br
1 1 1 1
Cartesian
0.0000 0.0000 0.0000
0.0000 0.0000 4.5804
0.0000 0.0000 13.0508
0.0000 0.0000 9.4131
```

Properties
N(E_F)	1.9	states/eV per cell
ΔE_f (raw)	-946	meV per atom
uncorrected energy	-6.44	eV per atom

---

First-principles (GGA-PBE) data for a relaxed structure of SrTbEu2, as listed in the Alexandria database.

Structure (POSCAR):
```
SrTbEu2
1.0
3.8759 0.0000 0.0000
0.0000 3.8759 0.0000
0.0000 0.0000 11.1024
Sr Tb Eu
1 1 2
Cartesian
0.0000 0.0000 0.0000
0.0000 0.0000 5.5512
1.9380 1.9380 3.0723
1.9380 1.9380 8.0300
```

Properties
N(E_F)	3.9	states/eV per cell
uncorrected energy	-6.63	eV per atom
energy relative to the lowest polymorph listed for this composition	0	meV per atom
formation enthalpy at 0 K	0.09	eV/atom

---

First-principles (GGA-PBE) data for a relaxed structure of Sr2GaPt, as listed in the Alexandria database.

Structure (POSCAR):
```
Sr2GaPt
1.0
3.8145 0.0000 0.0000
0.0000 3.8145 0.0000
0.0000 0.0000 7.4910
Sr Ga Pt
2 1 1
Cartesian
0.0000 0.0000 1.7529
0.0000 0.0000 5.7381
1.9072 1.9072 3.7455
1.9072 1.9072 0.0000
```

Properties
N(E_F)	3.4	states/eV per cell
uncorrected energy	-3.64	eV per atom
formation enthalpy at 0 K	-0.53	eV/atom

---

First-principles (GGA-PBE) data for a relaxed structure of LaCo12Si6, as listed in the Alexandria database.

Structure (POSCAR):
```
LaCo12Si6
1.0
5.2011 3.0029 2.5938
-5.2011 3.0029 2.5938
0.0000 -6.0058 2.5938
La Co Si
1 12 6
Cartesian
0.0000 0.0000 0.0000
-1.9111 -3.3101 3.8907
-3.8222 0.0000 3.8907
-1.3789 -0.7961 2.7707
1.3790 -0.7961 2.7707
0.0000 1.5923 2.7707
1.9111 -3.3102 3.8907
-1.9111 3.3102 3.8907
0.0000 -1.5923 5.0106
-1.3789 0.7961 5.0106
1.3789 0.7961 5.0106
3.8222 0.0000 3.8907
1.9111 3.3101 3.8907
0.0000 -2.6640 3.0096
-2.3071 1.3320 3.0096
-2.3071 -1.3320 4.7717
2.3071 1.3320 3.0096
2.3071 -1.3320 4.7717
0.0000 2.6640 4.7717
```

Properties
N(E_F)	17.8	states/eV per cell
ΔE_f (raw)	-392	meV per atom
uncorrected energy	-6.85	eV per atom

---

First-principles (GGA-PBE) data for a relaxed structure of SrH2Rh, as listed in the Alexandria database.

Structure (POSCAR):
```
SrH2Rh
1.0
0.0000 2.9971 2.9971
2.9971 0.0000 2.9971
2.9971 2.9971 0.0000
Sr H Rh
1 2 1
Cartesian
0.0000 0.0000 0.0000
1.4986 1.4986 1.4986
4.4957 4.4957 4.4957
2.9971 2.9971 2.9971
```

Properties
N(E_F)	2.9	states/eV per cell
uncorrected energy	-3.65	eV per atom
energy relative to the lowest polymorph listed for this composition	621	meV per atom

---

First-principles (GGA-PBE) data for a relaxed structure of TaPdI, as listed in the Alexandria database.

Structure (POSCAR):
```
TaPdI
1.0
13.1574 0.0000 0.0000
0.0000 1.6932 2.9271
0.0000 -1.6932 2.9271
Ta Pd I
2 2 2
Cartesian
1.9606 0.0000 0.0000
11.1967 0.0000 0.0000
0.0000 0.0000 3.9089
6.5787 0.0000 4.3411
3.9715 0.0000 3.9104
9.1858 0.0000 3.9104
```

Properties
N(E_F)	3.9	states/eV per cell
ΔE_f (raw)	319	meV per atom
uncorrected energy	-5.88	eV per atom

---

First-principles (GGA-PBE) data for a relaxed structure of Ba2BeN, as listed in the Alexandria database.

Structure (POSCAR):
```
Ba2BeN
1.0
-3.8724 3.8724 4.3943
3.8724 -3.8724 4.3943
3.8724 3.8724 -4.3943
Ba Be N
4 2 2
Cartesian
1.9362 1.3218 -1.0986
2.5506 -1.9362 5.4928
1.9362 2.5506 3.2957
1.3218 5.8086 1.0986
3.8724 0.0000 2.1971
0.0000 0.0000 4.3943
0.0000 0.0000 0.0000
0.0000 3.8724 2.1971
```

Properties
N(E_F)	3.1	states/eV per cell
ΔE_f (raw)	374	meV per atom
uncorrected energy	-3.60	eV per atom
energy relative to the lowest polymorph listed for this composition	0	meV per atom

---

First-principles (GGA-PBE) data for a relaxed structure of CsTeF5, as listed in the Alexandria database.

Structure (POSCAR):
```
CsTeF5
1.0
-4.3419 4.3892 4.3324
4.3419 -4.3892 4.3324
4.3419 4.3892 -4.3324
Cs Te F
2 2 10
Cartesian
0.0000 2.1946 0.0495
4.3419 2.1946 4.2828
4.3419 0.0000 0.0000
0.0000 0.0000 4.3324
2.2920 0.0000 0.0000
6.3918 0.0000 0.0000
4.3419 -0.1199 2.0460
4.3419 4.2693 -2.0460
4.3419 2.1946 0.1564
2.2920 4.3892 0.0000
2.0499 0.0000 4.3324
0.0000 2.1946 4.1760
0.0000 0.1199 6.3783
0.0000 4.5092 2.2864
```

Properties
N(E_F)	0.0	states/eV per cell
ΔE_f (raw)	-2352	meV per atom
uncorrected energy	-4.26	eV per atom
energy relative to the lowest polymorph listed for this composition	101	meV per atom

---

First-principles (GGA-PBE) data for a relaxed structure of MgTc2Te, as listed in the Alexandria database.

Structure (POSCAR):
```
MgTc2Te
1.0
4.4633 0.0000 0.0000
0.0000 4.4633 0.0000
0.0000 0.0000 3.2965
Mg Tc Te
1 2 1
Cartesian
0.0000 0.0000 0.0000
0.0000 2.2316 1.6482
2.2316 0.0000 1.6482
2.2316 2.2316 0.0000
```

Properties
N(E_F)	4.1	states/eV per cell
ΔE_f (raw)	299	meV per atom
uncorrected energy	-6.07	eV per atom
energy relative to the lowest polymorph listed for this composition	162	meV per atom

---

First-principles (GGA-PBE) data for a relaxed structure of LiGeAsSe2, as listed in the Alexandria database.

Structure (POSCAR):
```
LiGeAsSe2
1.0
5.1453 0.0000 0.0000
0.0000 5.1453 0.0000
0.0000 0.0000 4.9180
Li Ge As Se
1 1 1 2
Cartesian
0.0000 0.0000 0.0000
2.5726 2.5726 2.4590
2.5726 2.5726 0.0000
0.0000 2.5726 2.4590
2.5726 0.0000 2.4590
```

Properties
N(E_F)	3.7	states/eV per cell
ΔE_f (raw)	209	meV per atom
uncorrected energy	-3.42	eV per atom
energy relative to the lowest polymorph listed for this composition	0	meV per atom

---

First-principles (GGA-PBE) data for a relaxed structure of Cs2ReHCl6, as listed in the Alexandria database.

Structure (POSCAR):
```
Cs2ReHCl6
1.0
0.0000 5.3257 5.3257
5.3257 0.0000 5.3257
5.3257 5.3257 0.0000
Cs Re H Cl
2 1 1 6
Cartesian
2.6628 2.6628 2.6628
7.9885 7.9885 7.9885
0.0000 0.0000 0.0000
5.3257 5.3257 5.3257
5.3257 5.3257 2.3839
5.3257 2.3839 5.3257
8.2674 5.3257 5.3257
2.3839 5.3257 5.3257
5.3257 8.2674 5.3257
5.3257 5.3257 8.2674
```

Properties
N(E_F)	0.0	states/eV per cell
uncorrected energy	-3.84	eV per atom

---

First-principles (GGA-PBE) data for a relaxed structure of ZnB2AsO6, as listed in the Alexandria database.

Structure (POSCAR):
```
ZnB2AsO6
1.0
4.7399 -4.2660 0.0000
4.7399 4.2660 0.0000
-1.8772 0.0000 4.7092
Zn B As O
2 4 2 12
Cartesian
3.3320 3.4057 3.5319
4.2706 -3.4057 1.1773
1.2135 0.6979 3.8072
2.1521 -0.6979 1.4526
5.4505 0.6979 3.2566
6.3891 -0.6979 0.9020
4.2706 1.8437 1.1773
3.3320 -1.8437 3.5319
-0.1297 0.9141 3.1833
1.9794 1.9246 4.0162
0.8089 -0.9141 0.8287
2.9058 0.2405 0.5720
1.9672 -0.2405 2.9266
4.6846 1.9246 3.0476
2.9180 -1.9246 1.6616
5.6354 0.2405 1.7826
4.6968 -0.2405 4.1372
6.7937 0.9141 3.8804
5.6232 -1.9246 0.6930
7.7323 -0.9141 1.5259
```

Properties
N(E_F)	7.2	states/eV per cell
ΔE_f (raw)	-1633	meV per atom
uncorrected energy	-6.54	eV per atom

---

First-principles (GGA-PBE) data for a relaxed structure of TiICl2, as listed in the Alexandria database.

Structure (POSCAR):
```
TiICl2
1.0
6.7343 -1.6772 0.0000
6.7343 1.6772 0.0000
-3.3560 0.0000 6.2170
Ti I Cl
1 1 2
Cartesian
0.0000 0.0000 0.0000
7.8296 0.0000 1.9427
4.9298 0.0000 0.0193
4.3314 0.0000 4.6849
```

Properties
N(E_F)	2.2	states/eV per cell
ΔE_f (raw)	-1202	meV per atom
uncorrected energy	-4.49	eV per atom
energy relative to the lowest polymorph listed for this composition	0	meV per atom

---

First-principles (GGA-PBE) data for a relaxed structure of Ca2Ga4PdRh3, as listed in the Alexandria database.

Structure (POSCAR):
```
Ca2Ga4PdRh3
1.0
4.2462 0.0000 0.0000
0.0000 4.2462 0.0000
0.0000 0.0000 10.3305
Ca Ga Pd Rh
2 4 1 3
Cartesian
0.0000 2.1231 2.5524
2.1231 0.0000 7.7781
0.0000 0.0000 5.1652
0.0000 2.1231 8.9860
2.1231 0.0000 1.3445
2.1231 2.1231 5.1652
2.1231 2.1231 0.0000
0.0000 0.0000 0.0000
0.0000 2.1231 6.5135
2.1231 0.0000 3.8169
```

Properties
N(E_F)	4.7	states/eV per cell
uncorrected energy	-5.05	eV per atom
formation enthalpy at 0 K	-0.72	eV/atom

---

First-principles (GGA-PBE) data for a relaxed structure of Nb5Zn12Mo3, as listed in the Alexandria database.

Structure (POSCAR):
```
Nb5Zn12Mo3
1.0
-7.4950 7.4950 7.4950
7.4950 -7.4950 7.4950
7.4950 7.4950 -7.4950
Nb Zn Mo
20 48 12
Cartesian
0.0000 0.0000 0.0000
3.7475 3.7475 -3.7475
3.7475 -3.7475 3.7475
7.4950 0.0000 0.0000
11.2424 1.8737 0.0000
7.4950 -3.7475 5.6212
5.6212 7.4950 -3.7475
5.6212 0.0000 3.7475
3.7475 5.6212 0.0000
7.4950 3.7475 1.8737
-3.7475 3.7475 3.7475
0.0000 7.4950 0.0000
0.0000 0.0000 7.4950
3.7475 3.7475 3.7475
0.0000 3.7475 5.6212
3.7475 1.8737 7.4950
1.8737 7.4950 3.7475
1.8737 0.0000 11.2424
0.0000 11.2424 1.8737
-3.7475 5.6212 7.4950
7.4401 -1.1962 2.2972
11.2973 -1.4503 2.5513
2.2972 -0.0548 1.1962
8.9452 4.9437 -3.8023
9.7922 0.0548 1.1962
8.9452 -2.5513 3.8023
1.1962 2.2972 -0.0548
10.0462 3.6926 -1.4503
4.9437 3.8023 -1.4503
6.2987 2.2972 0.0548
-0.0548 1.1962 2.2972
3.8023 -1.4503 4.9437
7.4401 6.2987 -2.2972
3.8023 1.4503 2.5513
6.2987 -2.2972 7.4401
4.9437 -3.8023 8.9452
2.5513 3.8023 1.4503
8.6912 5.1978 0.0548
2.2972 7.4401 -1.1962
8.9452 2.5513 3.6926
1.4503 2.5513 3.8023
2.2972 0.0548 6.2987
3.8023 8.9452 -2.5513
7.4401 1.1962 5.1978
0.0548 6.2987 2.2972
3.6926 -1.4503 10.0462
5.1978 7.4401 1.1962
6.0447 4.9437 3.6926
-1.4503 4.9437 3.8023
5.1978 0.0548 8.6912
-1.1962 2.2972 7.4401
4.9437 3.6926 6.0447
2.5513 11.2973 -1.4503
1.1962 9.7922 0.0548
3.6926 6.0447 4.9437
0.0548 1.1962 9.7922
3.6926 8.9452 2.5513
7.5498 6.2987 5.1978
1.1962 5.1978 7.4401
2.5513 3.6926 8.9452
-2.5513 3.8023 8.9452
6.2987 5.1978 7.5498
-1.4503 10.0462 3.6926
-2.2972 7.4401 6.2987
-1.4503 2.5513 11.2973
5.1978 7.5498 6.2987
-3.8023 8.9452 4.9437
0.0548 8.6912 5.1978
3.7475 1.8737 0.0000
7.4950 3.7475 -1.8737
1.8737 0.0000 3.7475
9.3687 0.0000 3.7475
0.0000 3.7475 1.8737
3.7475 -1.8737 7.4950
3.7475 9.3687 0.0000
7.4950 3.7475 5.6212
-1.8737 7.4950 3.7475
5.6212 7.4950 3.7475
0.0000 3.7475 9.3687
3.7475 5.6212 7.4950
```

Properties
N(E_F)	63.1	states/eV per cell
uncorrected energy	-3.75	eV per atom
formation enthalpy at 0 K	1.16	eV/atom